1.
The following is a DFT calculation (GGA-PBEsol) of crystalline Cd2BiPtSe at its relaxed geometry.

```
Cd2BiPtSe
1.0
4.969 0.000 0.000
0.000 4.969 0.000
0.000 0.000 5.542
Cd Bi Pt Se
2 1 1 1
direct
0.000 0.500 0.000
0.500 0.000 0.000
0.000 0.000 0.500
0.500 0.500 0.500
0.000 0.000 0.000
```

Results
V in A^3/atom: 27.4
Density in g cm⁻³: 8.6
ΔE_f (raw) in eV per atom: 0.793
DOS(E_F) in states/eV per atom: 0.49

***

2.
The following is a DFT calculation (GGA-PBEsol) of crystalline Rb2SrCdBi at its relaxed geometry.

```
Rb2SrCdBi
1.0
6.143 0.000 0.000
0.000 6.143 0.000
0.000 0.000 6.405
Rb Sr Cd Bi
2 1 1 1
direct
0.000 0.500 0.000
0.500 0.000 0.000
0.000 0.000 0.500
0.000 0.000 0.000
0.500 0.500 0.500
```

Results
V in A^3/atom: 48.3
Density in g cm⁻³: 4.0
DOS(E_F) in states/eV per atom: 0.62
Uncorrected energy in eV per atom: -1.71

***

3.
The following is a DFT calculation (GGA-PBEsol) of crystalline CdRe3Bi at its relaxed geometry.

```
CdRe3Bi
1.0
4.817 0.000 0.000
0.000 4.817 0.000
0.000 0.000 4.817
Cd Re Bi
1 3 1
direct
0.000 0.000 0.000
0.000 0.000 0.500
0.000 0.500 0.000
0.500 0.000 0.000
0.500 0.500 0.500
```

Results
V in A^3/atom: 22.4
Density in g cm⁻³: 13.1
DOS(E_F) in states/eV per atom: 1.13
Uncorrected energy in eV per atom: -6.10

***

Please write out number 3 again, unchanged.
The following is a DFT calculation (GGA-PBEsol) of crystalline CdRe3Bi at its relaxed geometry.

```
CdRe3Bi
1.0
4.817 0.000 0.000
0.000 4.817 0.000
0.000 0.000 4.817
Cd Re Bi
1 3 1
direct
0.000 0.000 0.000
0.000 0.000 0.500
0.000 0.500 0.000
0.500 0.000 0.000
0.500 0.500 0.500
```

Results
V in A^3/atom: 22.4
Density in g cm⁻³: 13.1
DOS(E_F) in states/eV per atom: 1.13
Uncorrected energy in eV per atom: -6.10